No. 1
Below is Ta2ZnCl2 after structural relaxation, with properties calculated at the PBE-GGA level.

E_tot = -5.18 eV per atom
ΔE to the lowest computed polymorph = 0.2363 eV per atom
total magnetic moment = 0.00 μB per cell
SG = P4/mbm, No. 127
ΔE_f (raw) = 2.8 eV/f.u.

Unit cell a=7.634 b=7.634 c=2.900 alpha=90.00 beta=90.00 gamma=90.00
Sites, in units of the cell vectors:
Zn1 0.000 0.000 0.000
Zn2 0.500 0.500 0.000
Cl1 0.130 0.630 0.500
Cl2 0.630 0.870 0.500
Cl3 0.870 0.370 0.500
Cl4 0.370 0.130 0.500
Ta1 0.324 0.824 0.000
Ta2 0.824 0.676 0.000
Ta3 0.676 0.176 0.000
Ta4 0.176 0.324 0.000

---

No. 2
Below is Sn2BiRh after structural relaxation, with properties calculated at the PBE-GGA level.

E_tot = -4.70 eV per atom
energy of formation from the pure elements = 0.107 eV/atom
total magnetic moment = 0.00 μB per cell
SG = I-42d, No. 122

Unit cell a=5.204 b=5.204 c=9.224 alpha=73.61 beta=73.61 gamma=90.00
Sites, in units of the cell vectors:
Rh1 0.500 0.500 0.000
Rh2 0.250 0.750 0.500
Bi1 0.000 0.000 0.000
Bi2 0.750 0.250 0.500
Sn1 0.531 0.125 0.250
Sn2 0.219 0.625 0.250
Sn3 0.375 0.469 0.750
Sn4 0.875 0.781 0.750